A plane-wave DFT calculation with PBE was carried out for crystalline MnNiPd2 at its relaxed geometry.

a = 5.525 Å, b = 5.525 Å, c = 5.525 Å
α = 103.25°, β = 103.25°, γ = 122.79°
Fractional positions:
1 Mn 0.000 0.000 0.000
2 Mn 0.750 0.250 0.500
3 Ni 0.250 0.750 0.500
4 Ni 0.500 0.500 0.000
5 Pd 0.137 0.625 0.012
6 Pd 0.375 0.387 0.512
7 Pd 0.613 0.125 0.988
8 Pd 0.875 0.863 0.488

- formation enthalpy at 0 K (eV/atom) = 0.261
- space-group type = I-42d, No. 122